Material: CoHg2Cl
Method: DFT, PBEsol
State: optimized geometry

Calculated values
* energy relative to the elements, uncorrected: 0.07 eV per atom
* energy: -10.6 eV for the cell shown
* calculated volume: 20.52 Å³/atom

abc: 3.0220 4.3075 6.6618
angles: 108.86 90.00 90.00
With the nearest neighbours (Å) after each atom.
Atoms (fractional coordinates):
Hg (0.0000, 0.1089, 0.2177)  4 Co 2.70, 2 Hg 3.02
Cl (0.0000, 0.7918, 0.5837)  2 Co 2.26
Hg (0.5000, 0.4507, 0.9013)  1 Co 2.62
Co (0.5000, 0.6584, 0.3169)  2 Cl 2.26

---

Material: SrCa2P
Method: DFT, PBEsol
State: optimized geometry

Calculated values
* energy: -12.8 eV for the cell shown
* calculated formation energy: -0.22 eV per atom
* calculated volume: 28.16 Å³/atom

abc: 4.6380 4.6380 6.1791
angles: 112.04 112.04 90.00
With the nearest neighbours (Å) after each atom.
Atoms (fractional coordinates):
Sr (0.2500, 0.7500, 0.5000)  8 Ca 3.28-3.50, 4 P 3.50
Ca (0.7500, 0.2500, 0.5000)  4 Sr 3.28, 4 Ca 3.50, 4 P 3.50
Ca (0.0000, 0.0000, 0.0000)  4 P 3.28, 4 Sr 3.50, 4 Ca 3.50
P (0.5000, 0.5000, 0.0000)  8 Ca 3.28-3.50, 4 Sr 3.50

---

Material: Cs3TcO
Method: DFT, PBEsol
State: optimized geometry

Calculated values
* energy relative to the elements, uncorrected: 0.98 eV per atom
* energy: -14.4 eV for the cell shown
* calculated volume: 33.12 Å³/atom

abc: 5.4915 5.4915 5.4915
angles: 90.00 90.00 90.00
With the nearest neighbours (Å) after each atom.
Atoms (fractional coordinates):
O (0.5000, 0.5000, 0.5000)  12 Cs 3.88
Cs (0.0000, 0.0000, 0.5000)  2 Tc 2.75
Tc (0.0000, 0.0000, 0.0000)  6 Cs 2.75
Cs (0.5000, 0.0000, 0.0000)  2 Tc 2.75
Cs (0.0000, 0.5000, 0.0000)  2 Tc 2.75

---

Material: Mg2ScCd
Method: DFT, PBEsol
State: optimized geometry

Calculated values
* energy: -11.6 eV for the cell shown
* calculated formation energy: -0.09 eV per atom
* calculated volume: 21.73 Å³/atom

abc: 3.1368 4.9158 5.7042
angles: 90.00 98.80 90.00
With the nearest neighbours (Å) after each atom.
Atoms (fractional coordinates):
Mg (0.8398, 0.0000, 0.7458)  2 Cd 2.91, 5 Mg 2.92-3.25, 2 Sc 3.12
Mg (0.1602, 0.0000, 0.2542)  2 Cd 2.91, 5 Mg 2.92-3.25, 2 Sc 3.12
Sc (0.5000, 0.5000, 0.0000)  2 Cd 3.04, 8 Mg 3.12-3.39, 2 Sc 3.14
Cd (0.0000, 0.5000, 0.5000)  4 Mg 2.91, 2 Sc 3.04, 2 Cd 3.14

---

Material: LiNi2P4H3O14
Method: DFT, PBEsol
State: optimized geometry

Calculated values
* energy: -326.5 eV for the cell shown
* calculated volume: 10.54 Å³/atom

abc: 8.3405 8.3405 8.8142
angles: 111.05 111.05 98.62
With the nearest neighbours (Å) after each atom.
Atoms (fractional coordinates):
O (0.7371, 0.8644, 0.1883)  1 H 1.04
Ni (0.0015, 0.5017, 0.9997)  6 O 2.01-2.08
H (0.9559, 0.7253, 0.7983)  1 O 1.04
H (0.0483, 0.2785, 0.2033)  1 O 1.04
O (0.9542, 0.7463, 0.3585)  2 P 1.59-1.60
O (0.6038, 0.1716, 0.7676)  1 P 1.53
O (0.4200, 0.2133, 0.4863)  1 P 1.53
P (0.3184, 0.2374, 0.3171)  4 O 1.51-1.60
O (0.2891, 0.9049, 0.5474)  1 H 1.50, 1 P 1.52
Li (0.6449, 0.3609, 0.2519)  4 O 1.94-1.97
O (0.7142, 0.0983, 0.4525)  1 H 1.49, 1 P 1.53
H (0.7253, 0.9559, 0.2983)  1 O 1.04
O (0.8656, 0.3830, 0.4508)  1 H 1.24
O (0.6247, 0.5672, 0.2022)  1 P 1.51
O (0.8644, 0.7371, 0.6883)  1 H 1.04
Ni (0.4083, 0.5946, 0.2498)  6 O 2.02-2.08
O (0.3989, 0.8312, 0.2324)  1 P 1.53
O (0.7900, 0.5837, 0.0140)  1 P 1.53
P (0.7178, 0.1464, 0.9320)  4 O 1.52-1.59
O (0.7463, 0.9542, 0.8585)  2 P 1.59-1.60
O (0.0486, 0.2556, 0.6422)  2 P 1.59-1.60
O (0.4360, 0.3781, 0.2975)  1 P 1.51
P (0.8569, 0.2860, 0.5676)  4 O 1.53-1.59
O (0.5837, 0.7900, 0.5140)  1 P 1.53
P (0.2860, 0.8569, 0.0676)  4 O 1.53-1.59
O (0.3781, 0.4360, 0.7975)  1 P 1.51
O (0.6214, 0.1392, 0.0506)  1 H 1.18
H (0.0059, 0.5051, 0.5017)  2 O 1.18-1.24
P (0.2374, 0.3184, 0.8171)  4 O 1.51-1.60
H (0.2785, 0.0483, 0.7033)  1 O 1.04
O (0.5672, 0.6247, 0.7022)  1 P 1.51
O (0.3830, 0.8656, 0.9508)  1 H 1.24
P (0.6849, 0.7657, 0.6830)  4 O 1.51-1.60
O (0.2133, 0.4200, 0.9863)  1 P 1.53
O (0.0983, 0.7142, 0.9525)  1 H 1.49, 1 P 1.53
P (0.7657, 0.6849, 0.1830)  4 O 1.51-1.60
O (0.8312, 0.3989, 0.7324)  1 P 1.53
O (0.2673, 0.1396, 0.8131)  1 H 1.04
H (0.5051, 0.0059, 0.0017)  2 O 1.18-1.24
O (0.9049, 0.2891, 0.0474)  1 H 1.50, 1 P 1.52
O (0.1392, 0.6214, 0.5506)  1 H 1.18
O (0.1716, 0.6038, 0.2676)  1 P 1.53
O (0.1396, 0.2673, 0.3131)  1 H 1.04
Ni (0.5017, 0.0015, 0.4997)  6 O 2.01-2.08
O (0.2556, 0.0486, 0.1422)  2 P 1.59-1.60
Li (0.3609, 0.6449, 0.7519)  4 O 1.94-1.97
Ni (0.5946, 0.4083, 0.7498)  6 O 2.02-2.08
P (0.1464, 0.7178, 0.4320)  4 O 1.52-1.59

---

Material: ZrZnRh
Method: DFT, PBEsol
State: optimized geometry

Calculated values
* energy: -20.5 eV for the cell shown
* calculated formation energy: -0.55 eV per atom
* calculated volume: 15.98 Å³/atom

abc: 3.0825 3.6317 4.8995
angles: 111.75 108.33 90.00
With the nearest neighbours (Å) after each atom.
Atoms (fractional coordinates):
Rh (0.0052, 0.0052, 0.0105)  5 Zn 2.72-2.97, 5 Zr 2.79-2.84
Zn (0.6581, 0.6581, 0.3162)  5 Rh 2.72-2.97, 5 Zr 2.75-2.83
Zr (0.3367, 0.3367, 0.6733)  5 Zn 2.75-2.83, 5 Rh 2.79-2.84, 2 Zr 3.08

---

Material: BaInNF2
Method: DFT, PBEsol
State: optimized geometry

Calculated values
* energy relative to the elements, uncorrected: -1.83 eV per atom
* energy: -26.6 eV for the cell shown
* calculated volume: 16.28 Å³/atom

abc: 4.0656 4.4744 4.4744
angles: 90.00 90.00 90.00
With the nearest neighbours (Å) after each atom.
Atoms (fractional coordinates):
Ba (0.5000, 0.5000, 0.5000)  8 F 3.02, 4 N 3.16
F (0.0000, 0.5000, 0.0000)  2 In 2.24
In (0.0000, 0.0000, 0.0000)  2 N 2.03, 4 F 2.24
F (0.0000, 0.0000, 0.5000)  2 In 2.24
N (0.5000, 0.0000, 0.0000)  2 In 2.03

---

Material: YMgAu2
Method: DFT, PBEsol
State: optimized geometry

Calculated values
* energy: -19.3 eV for the cell shown
* calculated formation energy: -0.73 eV per atom
* calculated volume: 19.88 Å³/atom

abc: 3.3800 3.3800 6.9616
angles: 90.00 90.00 90.00
With the nearest neighbours (Å) after each atom.
Atoms (fractional coordinates):
Y (0.5000, 0.5000, 0.5000)  8 Au 3.03, 4 Y 3.38
Au (0.0000, 0.0000, 0.7681)  4 Mg 2.88, 4 Y 3.03, 1 Au 3.23
Mg (0.5000, 0.5000, 0.0000)  8 Au 2.88
Au (0.0000, 0.0000, 0.2319)  4 Mg 2.88, 4 Y 3.03, 1 Au 3.23

---

Material: KGa2FeF
Method: DFT, PBEsol
State: optimized geometry

Calculated values
* energy relative to the elements, uncorrected: -0.23 eV per atom
* energy: -19.9 eV for the cell shown
* calculated volume: 25.65 Å³/atom

abc: 4.4378 4.4378 6.5127
angles: 90.00 90.00 90.00
With the nearest neighbours (Å) after each atom.
Atoms (fractional coordinates):
Ga (0.5000, 0.0000, 0.0000)  2 Fe 2.22
F (0.5000, 0.5000, 0.5000)  4 K 3.14
Ga (0.0000, 0.5000, 0.0000)  2 Fe 2.22
Fe (0.0000, 0.0000, 0.0000)  4 Ga 2.22
K (0.0000, 0.0000, 0.5000)  4 F 3.14, 2 Fe 3.26

---

Material: CuTeRuS2
Method: DFT, PBEsol
State: optimized geometry

Calculated values
* energy relative to the elements, uncorrected: 1.03 eV per atom
* energy: -21.7 eV for the cell shown
* calculated volume: 19.18 Å³/atom

abc: 4.3147 4.3147 5.1505
angles: 90.00 90.00 90.00
With the nearest neighbours (Å) after each atom.
Atoms (fractional coordinates):
S (0.5000, 0.0000, 0.0000)  2 Cu 2.16
Te (0.0000, 0.0000, 0.5000)  2 Cu 2.58
S (0.0000, 0.5000, 0.0000)  2 Cu 2.16
Cu (0.0000, 0.0000, 0.0000)  4 S 2.16
Ru (0.5000, 0.5000, 0.5000)  4 Te 3.05, 8 S 3.36

---

Material: ScTl2GaOs
Method: DFT, PBEsol
State: optimized geometry

Calculated values
* energy: -22.9 eV for the cell shown
* calculated formation energy: 0.91 eV per atom
* calculated volume: 23.64 Å³/atom

abc: 4.6517 5.0407 5.0407
angles: 90.00 90.00 90.00
With the nearest neighbours (Å) after each atom.
Atoms (fractional coordinates):
Tl (0.0000, 0.5000, 0.0000)  2 Ga 2.52
Ga (0.0000, 0.0000, 0.0000)  2 Os 2.33, 4 Tl 2.52
Tl (0.0000, 0.0000, 0.5000)  2 Ga 2.52
Sc (0.5000, 0.5000, 0.5000)  8 Tl 3.43, 4 Os 3.56
Os (0.5000, 0.0000, 0.0000)  2 Ga 2.33

---

Material: PrAs2Au
Method: DFT, PBEsol
State: optimized geometry

Calculated values
* energy: -90.0 eV for the cell shown
* calculated formation energy: -0.80 eV per atom
* calculated volume: 21.21 Å³/atom

abc: 4.0759 4.0759 20.4272
angles: 90.00 90.00 90.06
With the nearest neighbours (Å) after each atom.
Atoms (fractional coordinates):
As (0.7347, 0.2653, 0.6606)  4 Au 2.73-2.74, 4 Pr 3.01
Au (0.2678, 0.2322, 0.2500)  4 As 2.73-2.74, 4 Au 2.88
As (0.2347, 0.7653, 0.8394)  4 Au 2.73-2.74, 4 Pr 3.01
As (0.2237, 0.2237, 0.0000)  1 As 2.58
Au (0.2322, 0.2678, 0.7500)  4 As 2.73-2.74, 4 Au 2.88
Pr (0.7351, 0.2649, 0.8818)  8 As 3.01-3.19
Au (0.7678, 0.7322, 0.2500)  4 As 2.73-2.74, 4 Au 2.88
Pr (0.2649, 0.7351, 0.1182)  8 As 3.01-3.19
Pr (0.7649, 0.2351, 0.3818)  8 As 3.01-3.19
Au (0.7322, 0.7678, 0.7500)  4 As 2.73-2.74, 4 Au 2.88
As (0.7763, 0.7763, 0.0000)  1 As 2.58
As (0.7237, 0.7237, 0.5000)  1 As 2.58
As (0.7653, 0.2347, 0.1606)  4 Au 2.73-2.74, 4 Pr 3.01
As (0.2763, 0.2763, 0.5000)  1 As 2.58
Pr (0.2351, 0.7649, 0.6182)  8 As 3.01-3.19
As (0.2653, 0.7347, 0.3394)  4 Au 2.73-2.74, 4 Pr 3.01

---

The highest calculated volume belongs to which entry?
Cs3TcO

---

Number 7 is which compound?
BaInNF2

---

What did the seventh record say?
Material: BaInNF2
Method: DFT, PBEsol
State: optimized geometry

Calculated values
* energy relative to the elements, uncorrected: -1.83 eV per atom
* energy: -26.6 eV for the cell shown
* calculated volume: 16.28 Å³/atom

abc: 4.0656 4.4744 4.4744
angles: 90.00 90.00 90.00
With the nearest neighbours (Å) after each atom.
Atoms (fractional coordinates):
Ba (0.5000, 0.5000, 0.5000)  8 F 3.02, 4 N 3.16
F (0.0000, 0.5000, 0.0000)  2 In 2.24
In (0.0000, 0.0000, 0.0000)  2 N 2.03, 4 F 2.24
F (0.0000, 0.0000, 0.5000)  2 In 2.24
N (0.5000, 0.0000, 0.0000)  2 In 2.03